# PBE TmTh2InN5, relaxed
data_TmTh2InN5
_cell_length_a 3.561
_cell_length_b 14.088
_cell_length_c 10.816
_cell_angle_alpha 90.00
_cell_angle_beta 90.00
_cell_angle_gamma 90.00
_symmetry_space_group_name_H-M 'C m c 21'
_symmetry_Int_Tables_number 36
loop_
_symmetry_equiv_pos_as_xyz
'x,y,z'
'-x,-y,z+1/2'
'-x,y,z'
'x,-y,z+1/2'
'x+1/2,y+1/2,z'
'-x+1/2,-y+1/2,z+1/2'
'-x+1/2,y+1/2,z'
'x+1/2,-y+1/2,z+1/2'
loop_
_atom_site_label
_atom_site_fract_x
_atom_site_fract_y
_atom_site_fract_z
_atom_site_occupancy
Tm1 0.000 0.212 0.000 1
Th1 0.000 0.119 0.696 1
Th2 0.000 0.134 0.282 1
In1 0.000 0.482 0.483 1
N1 0.000 0.058 0.078 1
N2 0.000 0.289 0.663 1
N3 0.000 0.303 0.355 1
N4 0.000 0.366 0.038 1
N5 0.000 0.492 0.785 1
# Formation energy (no corrections): -0.995 eV/atom
# Final energy: -8.070 eV/atom

=====

# PBE NiAsPt2S, relaxed
data_NiAsPt2S
_cell_length_a 4.605
_cell_length_b 4.605
_cell_length_c 4.091
_cell_angle_alpha 90.00
_cell_angle_beta 90.00
_cell_angle_gamma 90.00
_symmetry_space_group_name_H-M 'P 4/m m m'
_symmetry_Int_Tables_number 123
_symmetry_space_group_name_Hall '-P 4 2'
loop_
_atom_site_label
_atom_site_fract_x
_atom_site_fract_y
_atom_site_fract_z
_atom_site_occupancy
Ni1 0.000 0.000 0.000 1
As1 0.500 0.500 0.000 1
Pt1 0.000 0.500 0.500 1
S1 0.000 0.000 0.500 1
# Formation energy (no corrections): 0.340 eV/atom
# Final energy: -4.988 eV/atom

=====

# PBE PaTl2GaI8, relaxed
data_PaTl2GaI8
_cell_length_a 7.465
_cell_length_b 9.582
_cell_length_c 8.304
_cell_angle_alpha 90.00
_cell_angle_beta 90.81
_cell_angle_gamma 90.00
_symmetry_space_group_name_H-M 'P 1 2/m 1'
_symmetry_Int_Tables_number 10
loop_
_symmetry_equiv_pos_as_xyz
'x,y,z'
'-x,-y,-z'
'-x,y,-z'
'x,-y,z'
loop_
_atom_site_label
_atom_site_fract_x
_atom_site_fract_y
_atom_site_fract_z
_atom_site_occupancy
Pa1 0.000 0.000 0.000 1
Tl1 0.500 0.269 0.500 1
Ga1 0.000 0.500 0.000 1
I1 0.207 0.000 0.304 1
I2 0.232 0.224 0.872 1
I3 0.254 0.500 0.311 1
# Formation energy (no corrections): -0.720 eV/atom
# Final energy: -3.191 eV/atom

=====

# PBE AgSCl2, relaxed
data_AgSCl2
_cell_length_a 4.869
_cell_length_b 4.869
_cell_length_c 16.063
_cell_angle_alpha 90.00
_cell_angle_beta 90.00
_cell_angle_gamma 90.00
_symmetry_space_group_name_H-M 'I -4 2 d'
_symmetry_Int_Tables_number 122
_symmetry_space_group_name_Hall 'I -4 2bw'
loop_
_atom_site_label
_atom_site_fract_x
_atom_site_fract_y
_atom_site_fract_z
_atom_site_occupancy
Ag1 0.000 0.000 0.000 1
S1 0.000 0.000 0.500 1
Cl1 0.223 0.250 0.625 1
# Formation energy (no corrections): 0.309 eV/atom
# Final energy: -2.359 eV/atom

=====

# PBE Ho7Tl2Ru2, relaxed
data_Ho7Tl2Ru2
_cell_length_a 8.043
_cell_length_b 10.886
_cell_length_c 7.123
_cell_angle_alpha 90.00
_cell_angle_beta 90.00
_cell_angle_gamma 90.00
_symmetry_space_group_name_H-M 'C m m m'
_symmetry_Int_Tables_number 65
_symmetry_space_group_name_Hall '-C 2 2'
loop_
_atom_site_label
_atom_site_fract_x
_atom_site_fract_y
_atom_site_fract_z
_atom_site_occupancy
Ho1 0.000 0.000 0.000 1
Ho2 0.000 0.500 0.238 1
Ho3 0.250 0.250 0.248 1
Tl1 0.183 0.000 0.500 1
Ru1 0.000 0.293 0.000 1
# Final energy: -5.261 eV/atom
# Energy of formation from the pure elements: -0.231 eV per atom

=====

# PBE VAs, relaxed
data_VAs
_cell_length_a 5.089
_cell_length_b 6.804
_cell_length_c 7.910
_cell_angle_alpha 90.00
_cell_angle_beta 90.00
_cell_angle_gamma 90.00
_symmetry_space_group_name_H-M 'P 21 21 21'
_symmetry_Int_Tables_number 19
loop_
_symmetry_equiv_pos_as_xyz
'x,y,z'
'-x+1/2,-y,z+1/2'
'x+1/2,-y+1/2,-z'
'-x,y+1/2,-z+1/2'
loop_
_atom_site_label
_atom_site_fract_x
_atom_site_fract_y
_atom_site_fract_z
_atom_site_occupancy
V1 0.016 0.177 0.117 1
V2 0.238 0.996 0.371 1
As1 0.001 0.815 0.092 1
As2 0.026 0.364 0.853 1
# Final energy: -7.123 eV/atom
# Energy of formation from the pure elements: -0.239 eV per atom

=====

# PBE HfScCdIn, relaxed
data_HfScCdIn
_cell_length_a 3.178
_cell_length_b 3.178
_cell_length_c 8.611
_cell_angle_alpha 90.00
_cell_angle_beta 90.00
_cell_angle_gamma 90.00
_symmetry_space_group_name_H-M 'P 4 m m'
_symmetry_Int_Tables_number 99
loop_
_symmetry_equiv_pos_as_xyz
'x,y,z'
'-y,x,z'
'-x,-y,z'
'y,-x,z'
'-x,y,z'
'y,x,z'
'x,-y,z'
'-y,-x,z'
loop_
_atom_site_label
_atom_site_fract_x
_atom_site_fract_y
_atom_site_fract_z
_atom_site_occupancy
Hf1 0.000 0.000 0.000 1
Sc1 0.000 0.000 0.503 1
Cd1 0.500 0.500 0.751 1
In1 0.500 0.500 0.251 1
# Final energy: -5.194 eV/atom
# Energy of formation from the pure elements: -0.209 eV per atom

=====

# PBE LiP2PdPt, relaxed
data_LiP2PdPt
_cell_length_a 4.253
_cell_length_b 4.253
_cell_length_c 4.188
_cell_angle_alpha 90.00
_cell_angle_beta 90.00
_cell_angle_gamma 90.00
_symmetry_space_group_name_H-M 'P 4/m m m'
_symmetry_Int_Tables_number 123
_symmetry_space_group_name_Hall '-P 4 2'
loop_
_atom_site_label
_atom_site_fract_x
_atom_site_fract_y
_atom_site_fract_z
_atom_site_occupancy
Li1 0.000 0.000 0.000 1
P1 0.000 0.500 0.000 1
Pd1 0.500 0.500 0.500 1
Pt1 0.000 0.000 0.500 1
# Final energy: -4.211 eV/atom
# Energy of formation from the pure elements: 0.582 eV per atom

=====

# PBE Tb2Pm6Y3, relaxed
data_Tb2Pm6Y3
_cell_length_a 4.800
_cell_length_b 4.800
_cell_length_c 33.578
_cell_angle_alpha 90.00
_cell_angle_beta 90.00
_cell_angle_gamma 90.00
_symmetry_space_group_name_H-M 'I 4/m m m'
_symmetry_Int_Tables_number 139
_symmetry_space_group_name_Hall '-I 4 2'
loop_
_atom_site_label
_atom_site_fract_x
_atom_site_fract_y
_atom_site_fract_z
_atom_site_occupancy
Tb1 0.000 0.000 0.045 1
Pm1 0.000 0.000 0.195 1
Pm2 0.000 0.500 0.120 1
Y1 0.000 0.000 0.299 1
Y2 0.000 0.000 0.500 1
# Final energy: -4.913 eV/atom
# Energy of formation from the pure elements: 0.283 eV per atom

=====

# PBE Ca2ScP, relaxed
data_Ca2ScP
_cell_length_a 10.139
_cell_length_b 10.139
_cell_length_c 5.067
_cell_angle_alpha 90.00
_cell_angle_beta 90.00
_cell_angle_gamma 90.00
_symmetry_space_group_name_H-M 'I -4 2 d'
_symmetry_Int_Tables_number 122
_symmetry_space_group_name_Hall 'I -4 2bw'
loop_
_atom_site_label
_atom_site_fract_x
_atom_site_fract_y
_atom_site_fract_z
_atom_site_occupancy
Ca1 0.115 0.250 0.125 1
Sc1 0.000 0.000 0.500 1
P1 0.000 0.000 0.000 1
# Final energy: -4.302 eV/atom
# Energy of formation from the pure elements: -0.366 eV per atom

=====

# PBE LaPm8Ho2, relaxed
data_LaPm8Ho2
_cell_length_a 19.517
_cell_length_b 7.089
_cell_length_c 5.661
_cell_angle_alpha 90.00
_cell_angle_beta 93.33
_cell_angle_gamma 90.00
_symmetry_space_group_name_H-M 'C 1 2/m 1'
_symmetry_Int_Tables_number 12
loop_
_symmetry_equiv_pos_as_xyz
'x,y,z'
'-x,-y,-z'
'-x,y,-z'
'x,-y,z'
'x+1/2,y+1/2,z'
'-x+1/2,-y+1/2,-z'
'-x+1/2,y+1/2,-z'
'x+1/2,-y+1/2,z'
loop_
_atom_site_label
_atom_site_fract_x
_atom_site_fract_y
_atom_site_fract_z
_atom_site_occupancy
La1 0.000 0.000 0.000 1
Pm1 0.045 0.500 0.239 1
Pm2 0.134 0.269 0.731 1
Pm3 0.189 0.000 0.232 1
Ho1 0.215 0.500 0.253 1
# Final energy: -4.602 eV/atom
# Energy of formation from the pure elements: 0.133 eV per atom

=====

# PBE Ca2InGe2Rh5, relaxed
data_Ca2InGe2Rh5
_cell_length_a 10.050
_cell_length_b 10.050
_cell_length_c 3.476
_cell_angle_alpha 90.00
_cell_angle_beta 90.00
_cell_angle_gamma 90.00
_symmetry_space_group_name_H-M 'P 4/m b m'
_symmetry_Int_Tables_number 127
_symmetry_space_group_name_Hall '-P 4 2ab'
loop_
_atom_site_label
_atom_site_fract_x
_atom_site_fract_y
_atom_site_fract_z
_atom_site_occupancy
Ca1 0.173 0.327 0.000 1
In1 0.000 0.000 0.000 1
Ge1 0.126 0.626 0.000 1
Rh1 0.000 0.500 0.500 1
Rh2 0.068 0.789 0.500 1
# Final energy: -5.916 eV/atom
# Energy of formation from the pure elements: -0.643 eV per atom

=====

# PBE Y2Er6Th, relaxed
data_Y2Er6Th
_cell_length_a 6.8719
_cell_length_b 6.8719
_cell_length_c 23.1808
_cell_angle_alpha 90.00
_cell_angle_beta 90.00
_cell_angle_gamma 120.00
_symmetry_space_group_name_H-M 'R 3 m'
_symmetry_Int_Tables_number 160
_symmetry_space_group_name_Hall 'R 3 -2"'
loop_
_atom_site_label
_atom_site_fract_x
_atom_site_fract_y
_atom_site_fract_z
_atom_site_occupancy
Y1 0.0000 0.0000 0.0000 1
Y2 0.0000 0.0000 0.1592 1
Er1 0.0018 0.5009 0.9747 1
Er2 0.1707 0.3414 0.5303 1
Th1 0.0000 0.0000 0.7540 1
# Final energy: -4.881 eV/atom
# Energy of formation from the pure elements: 0.421 eV per atom

=====

# PBE Nd2MgZn6, relaxed
data_Nd2MgZn6
_cell_length_a 5.9076
_cell_length_b 5.9076
_cell_length_c 6.0030
_cell_angle_alpha 90.00
_cell_angle_beta 90.00
_cell_angle_gamma 120.00
_symmetry_space_group_name_H-M 'P -3 m 1'
_symmetry_Int_Tables_number 164
_symmetry_space_group_name_Hall '-P 3 2"'
loop_
_atom_site_label
_atom_site_fract_x
_atom_site_fract_y
_atom_site_fract_z
_atom_site_occupancy
Nd1 0.3333 0.6667 0.3495 1
Mg1 0.0000 0.0000 0.5000 1
Zn1 0.1800 0.3601 0.8461 1
# Final energy: -2.358 eV/atom
# Energy of formation from the pure elements: -0.272 eV per atom

=====

# PBE Ac2CeSb3Pt4, relaxed
data_Ac2CeSb3Pt4
_cell_length_a 4.692
_cell_length_b 4.692
_cell_length_c 11.382
_cell_angle_alpha 90.00
_cell_angle_beta 90.00
_cell_angle_gamma 90.00
_symmetry_space_group_name_H-M 'P -4 m 2'
_symmetry_Int_Tables_number 115
loop_
_symmetry_equiv_pos_as_xyz
'x,y,z'
'y,-x,-z'
'-x,-y,z'
'-y,x,-z'
'-x,y,z'
'-y,-x,-z'
'x,-y,z'
'y,x,-z'
loop_
_atom_site_label
_atom_site_fract_x
_atom_site_fract_y
_atom_site_fract_z
_atom_site_occupancy
Ac1 0.000 0.500 0.218 1
Ce1 0.000 0.000 0.500 1
Sb1 0.000 0.500 0.877 1
Sb2 0.500 0.500 0.500 1
Pt1 0.000 0.000 0.000 1
Pt2 0.000 0.500 0.646 1
Pt3 0.500 0.500 0.000 1
# Formation energy (no corrections): -0.943 eV/atom
# Final energy: -6.011 eV/atom

=====

# PBE V3AsBr, relaxed
data_V3AsBr
_cell_length_a 4.919
_cell_length_b 4.919
_cell_length_c 4.919
_cell_angle_alpha 90.00
_cell_angle_beta 90.00
_cell_angle_gamma 90.00
_symmetry_space_group_name_H-M 'P m -3 m'
_symmetry_Int_Tables_number 221
_symmetry_space_group_name_Hall '-P 4 2 3'
loop_
_atom_site_label
_atom_site_fract_x
_atom_site_fract_y
_atom_site_fract_z
_atom_site_occupancy
V1 0.000 0.000 0.500 1
As1 0.000 0.000 0.000 1
Br1 0.500 0.500 0.500 1
# Formation energy (no corrections): 0.749 eV/atom
# Final energy: -5.987 eV/atom

=====

# PBE NaTiIn, relaxed
data_NaTiIn
_cell_length_a 3.268
_cell_length_b 3.549
_cell_length_c 12.215
_cell_angle_alpha 90.00
_cell_angle_beta 90.05
_cell_angle_gamma 90.00
_symmetry_space_group_name_H-M 'P 1 21/m 1'
_symmetry_Int_Tables_number 11
loop_
_symmetry_equiv_pos_as_xyz
'x,y,z'
'-x,-y,-z'
'-x,y+1/2,-z'
'x,-y+1/2,z'
loop_
_atom_site_label
_atom_site_fract_x
_atom_site_fract_y
_atom_site_fract_z
_atom_site_occupancy
Na1 0.248 0.250 0.118 1
Ti1 0.250 0.250 0.441 1
In1 0.251 0.250 0.696 1
# Final energy: -4.028 eV/atom
# Energy of formation from the pure elements: -0.044 eV per atom

=====

# PBE SrPr3Sm2S6, relaxed
data_SrPr3Sm2S6
_cell_length_a 7.075
_cell_length_b 12.265
_cell_length_c 7.109
_cell_angle_alpha 90.00
_cell_angle_beta 109.31
_cell_angle_gamma 90.00
_symmetry_space_group_name_H-M 'C 1 2/m 1'
_symmetry_Int_Tables_number 12
loop_
_symmetry_equiv_pos_as_xyz
'x,y,z'
'-x,-y,-z'
'-x,y,-z'
'x,-y,z'
'x+1/2,y+1/2,z'
'-x+1/2,-y+1/2,-z'
'-x+1/2,y+1/2,-z'
'x+1/2,-y+1/2,z'
loop_
_atom_site_label
_atom_site_fract_x
_atom_site_fract_y
_atom_site_fract_z
_atom_site_occupancy
Sr1 0.000 0.000 0.000 1
Pr1 0.000 0.164 0.500 1
Pr2 0.000 0.500 0.500 1
Sm1 0.000 0.333 0.000 1
S1 0.241 0.500 0.242 1
S2 0.248 0.330 0.753 1
# Formation energy (no corrections): -2.021 eV/atom
# Final energy: -6.206 eV/atom

=====

# PBE Nd2DyY5Sc, relaxed
data_Nd2DyY5Sc
_cell_length_a 5.572
_cell_length_b 20.269
_cell_length_c 10.365
_cell_angle_alpha 90.00
_cell_angle_beta 90.00
_cell_angle_gamma 90.00
_symmetry_space_group_name_H-M 'C m c 21'
_symmetry_Int_Tables_number 36
loop_
_symmetry_equiv_pos_as_xyz
'x,y,z'
'-x,-y,z+1/2'
'-x,y,z'
'x,-y,z+1/2'
'x+1/2,y+1/2,z'
'-x+1/2,-y+1/2,z+1/2'
'-x+1/2,y+1/2,z'
'x+1/2,-y+1/2,z+1/2'
loop_
_atom_site_label
_atom_site_fract_x
_atom_site_fract_y
_atom_site_fract_z
_atom_site_occupancy
Nd1 0.000 0.112 0.000 1
Nd2 0.000 0.116 0.580 1
Dy1 0.000 0.406 0.861 1
Y1 0.000 0.016 0.299 1
Y2 0.000 0.270 0.983 1
Y3 0.000 0.299 0.614 1
Y4 0.000 0.368 0.293 1
Y5 0.000 0.483 0.575 1
Sc1 0.000 0.191 0.297 1
# Final energy: -5.716 eV/atom
# Energy of formation from the pure elements: 0.149 eV per atom

=====

# PBE ZrAs2Br, relaxed
data_ZrAs2Br
_cell_length_a 3.472
_cell_length_b 4.597
_cell_length_c 10.510
_cell_angle_alpha 90.00
_cell_angle_beta 90.00
_cell_angle_gamma 90.00
_symmetry_space_group_name_H-M 'I m m m'
_symmetry_Int_Tables_number 71
_symmetry_space_group_name_Hall '-I 2 2'
loop_
_atom_site_label
_atom_site_fract_x
_atom_site_fract_y
_atom_site_fract_z
_atom_site_occupancy
Zr1 0.000 0.000 0.000 1
As1 0.000 0.500 0.273 1
Br1 0.000 0.000 0.500 1
# Formation energy (no corrections): -0.198 eV/atom
# Final energy: -5.078 eV/atom

=====

# PBE Ba2PuTl3O6, relaxed
data_Ba2PuTl3O6
_cell_length_a 6.723
_cell_length_b 11.628
_cell_length_c 6.688
_cell_angle_alpha 90.00
_cell_angle_beta 108.92
_cell_angle_gamma 90.00
_symmetry_space_group_name_H-M 'C 1 2/m 1'
_symmetry_Int_Tables_number 12
loop_
_symmetry_equiv_pos_as_xyz
'x,y,z'
'-x,-y,-z'
'-x,y,-z'
'x,-y,z'
'x+1/2,y+1/2,z'
'-x+1/2,-y+1/2,-z'
'-x+1/2,y+1/2,-z'
'x+1/2,-y+1/2,z'
loop_
_atom_site_label
_atom_site_fract_x
_atom_site_fract_y
_atom_site_fract_z
_atom_site_occupancy
Ba1 0.000 0.168 0.000 1
Pu1 0.000 0.500 0.000 1
Tl1 0.000 0.000 0.500 1
Tl2 0.000 0.351 0.500 1
O1 0.196 0.370 0.173 1
O2 0.207 0.500 0.779 1
# Formation energy (no corrections): -1.941 eV/atom
# Final energy: -6.527 eV/atom

=====

# PBE ZnIn2Cu, relaxed
data_ZnIn2Cu
_cell_length_a 8.816
_cell_length_b 8.816
_cell_length_c 4.840
_cell_angle_alpha 90.00
_cell_angle_beta 90.00
_cell_angle_gamma 90.00
_symmetry_space_group_name_H-M 'I -4 2 d'
_symmetry_Int_Tables_number 122
_symmetry_space_group_name_Hall 'I -4 2bw'
loop_
_atom_site_label
_atom_site_fract_x
_atom_site_fract_y
_atom_site_fract_z
_atom_site_occupancy
Zn1 0.000 0.000 0.000 1
In1 0.145 0.250 0.625 1
Cu1 0.000 0.000 0.500 1
# Final energy: -2.528 eV/atom
# Energy of formation from the pure elements: 0.183 eV per atom